! TlPd3 (GGA-PBEsol, optimized geometry); values from VASP
&SYSTEM
  ibrav = 0, nat = 4, ntyp = 2
/
ATOMIC_SPECIES
Tl 204.38 Tl.upf
Pd 106.42 Pd.upf
ATOMIC_POSITIONS crystal
Tl 0.0000 0.0000 0.0000
Pd 0.2500 0.7500 0.5000
Pd 0.5000 0.5000 0.0000
Pd 0.7500 0.2500 0.5000
CELL_PARAMETERS angstrom
-2.0633 2.0633 3.7641
2.0633 -2.0633 3.7641
2.0633 2.0633 -3.7641
! Space group: I4/mmm, No. 139
! Total magnetic moment, μB per formula unit: 0.0
! Total DFT energy (no corrections), eV per formula unit: -21.42
! Calculated density, g cm⁻³: 13.565